# 1
A relaxed structure of Dy3Co4Ge13. Source: Alexandria, functional GGA-PBEsol.

a b c (Å): 8.651 8.651 8.651
angles (deg): 90.00 90.00 90.00
Fractional coordinates of all 40 atoms:
Dy1 0.000 0.250 0.500
Dy2 0.000 0.750 0.500
Dy3 0.250 0.500 0.000
Dy4 0.500 0.000 0.250
Dy5 0.500 0.000 0.750
Dy6 0.750 0.500 0.000
Co1 0.250 0.250 0.250
Co2 0.250 0.250 0.750
Co3 0.250 0.750 0.250
Co4 0.250 0.750 0.750
Co5 0.750 0.250 0.250
Co6 0.750 0.250 0.750
Co7 0.750 0.750 0.250
Co8 0.750 0.750 0.750
Ge1 0.000 0.000 0.000
Ge2 0.000 0.303 0.153
Ge3 0.000 0.303 0.847
Ge4 0.000 0.697 0.153
Ge5 0.000 0.697 0.847
Ge6 0.153 0.000 0.303
Ge7 0.153 0.000 0.697
Ge8 0.197 0.500 0.347
Ge9 0.197 0.500 0.653
Ge10 0.303 0.153 0.000
Ge11 0.303 0.847 0.000
Ge12 0.347 0.197 0.500
Ge13 0.347 0.803 0.500
Ge14 0.500 0.347 0.197
Ge15 0.500 0.347 0.803
Ge16 0.500 0.500 0.500
Ge17 0.500 0.653 0.197
Ge18 0.500 0.653 0.803
Ge19 0.653 0.197 0.500
Ge20 0.653 0.803 0.500
Ge21 0.697 0.153 0.000
Ge22 0.697 0.847 0.000
Ge23 0.803 0.500 0.347
Ge24 0.803 0.500 0.653
Ge25 0.847 0.000 0.303
Ge26 0.847 0.000 0.697

Properties
- DFT formation energy: -9.938 eV per formula unit
- Fermi-level density of states: 13.857 states/eV/cell

=====

# 2
A relaxed structure of CoSbRu2. Source: Alexandria, functional GGA-PBEsol.

a b c (Å): 2.850 4.361 4.682
angles (deg): 90.00 93.42 90.00
Fractional coordinates of all 4 atoms:
Co1 0.000 0.000 0.000
Sb1 0.500 0.000 0.500
Ru1 0.226 0.500 0.768
Ru2 0.774 0.500 0.232

Properties
- Formation energy from raw total energies: 425 meV/atom
- Fermi-level density of states: 5.303 states/eV/cell

=====

# 3
A relaxed structure of LaSbIr. Source: Alexandria, functional GGA-PBEsol.

a b c (Å): 4.510 4.510 4.106
angles (deg): 90.00 90.00 120.00
Fractional coordinates of all 3 atoms:
La1 0.000 0.000 0.000
Sb1 0.333 0.667 0.500
Ir1 0.667 0.333 0.500

Properties
- Formation energy from raw total energies: -786 meV/atom
- Fermi-level density of states: 2.462 states/eV/cell

=====

# 4
A relaxed structure of Ga2SbAsPd. Source: Alexandria, functional GGA-PBEsol.

a b c (Å): 4.668 4.668 5.253
angles (deg): 90.00 90.00 90.00
Fractional coordinates of all 5 atoms:
Ga1 0.000 0.500 0.000
Ga2 0.500 0.000 0.000
Sb1 0.000 0.000 0.500
As1 0.500 0.500 0.500
Pd1 0.000 0.000 0.000

Properties
- Formation energy from raw total energies: 125 meV/atom
- Fermi-level density of states: 2.455 states/eV/cell

=====

# 5
A relaxed structure of CoHg2Se. Source: Alexandria, functional GGA-PBEsol.

a b c (Å): 4.993 4.993 6.026
angles (deg): 109.24 109.24 35.24
Fractional coordinates of all 4 atoms:
Co1 0.000 0.000 0.000
Hg1 0.252 0.252 0.918
Hg2 0.455 0.455 0.614
Se1 0.594 0.594 0.286

Properties
- Formation energy from raw total energies: 42 meV/atom
- Fermi-level density of states: 1.918 states/eV/cell

=====

# 6
A relaxed structure of ScMn2Rh2. Source: Alexandria, functional GGA-PBEsol.

a b c (Å): 7.068 7.068 7.068
angles (deg): 153.52 153.52 37.79
Fractional coordinates of all 5 atoms:
Sc1 0.000 0.000 0.000
Mn1 0.250 0.750 0.500
Mn2 0.750 0.250 0.500
Rh1 0.395 0.395 0.000
Rh2 0.605 0.605 0.000

Properties
- DFT formation energy: -0.072 eV per formula unit
- Fermi-level density of states: 6.296 states/eV/cell

=====

# 7
A relaxed structure of TlCo2Au. Source: Alexandria, functional GGA-PBEsol.

a b c (Å): 4.827 4.827 4.827
angles (deg): 133.01 133.01 68.65
Fractional coordinates of all 4 atoms:
Tl1 0.000 0.000 0.000
Co1 0.250 0.750 0.500
Co2 0.500 0.500 0.000
Au1 0.750 0.250 0.500

Properties
- DFT formation energy: 1.736 eV per formula unit
- Fermi-level density of states: 4.791 states/eV/cell

=====

# 8
A relaxed structure of CoP2W. Source: Alexandria, functional GGA-PBEsol.

a b c (Å): 4.902 4.902 4.902
angles (deg): 139.27 139.27 58.97
Fractional coordinates of all 4 atoms:
Co1 0.000 0.000 0.000
P1 0.500 0.500 0.000
P2 0.750 0.250 0.500
W1 0.250 0.750 0.500

Properties
- DFT formation energy: 0.147 eV per formula unit
- Fermi-level density of states: 2.759 states/eV/cell

=====

# 9
A relaxed structure of Cs2BaNa2. Source: Alexandria, functional GGA-PBEsol.

a b c (Å): 8.463 8.463 8.463
angles (deg): 131.37 131.37 71.23
Fractional coordinates of all 5 atoms:
Cs1 0.137 0.137 0.000
Cs2 0.863 0.863 0.000
Ba1 0.500 0.500 0.000
Na1 0.250 0.750 0.500
Na2 0.750 0.250 0.500

Properties
- DFT formation energy: 1.081 eV per formula unit
- Fermi-level density of states: 3.715 states/eV/cell

=====

# 10
A relaxed structure of TlW2Au. Source: Alexandria, functional GGA-PBEsol.

a b c (Å): 3.385 4.382 4.663
angles (deg): 90.00 90.00 90.00
Fractional coordinates of all 4 atoms:
Tl1 0.000 0.000 0.000
W1 0.000 0.500 0.500
W2 0.500 0.000 0.500
Au1 0.500 0.500 0.000

Properties
- DFT formation energy: 3.027 eV per formula unit
- Fermi-level density of states: 2.267 states/eV/cell

=====

# 11
A relaxed structure of ScInSb2Te. Source: Alexandria, functional GGA-PBEsol.

a b c (Å): 5.435 5.435 5.443
angles (deg): 90.00 90.00 90.00
Fractional coordinates of all 5 atoms:
Sc1 0.000 0.000 0.000
In1 0.500 0.500 0.500
Sb1 0.000 0.500 0.000
Sb2 0.500 0.000 0.000
Te1 0.000 0.000 0.500

Properties
- Formation energy from raw total energies: 9 meV/atom
- Fermi-level density of states: 4.102 states/eV/cell

=====

# 12
A relaxed structure of Li3CaFe. Source: Alexandria, functional GGA-PBEsol.

a b c (Å): 4.843 4.843 4.843
angles (deg): 90.00 90.00 90.00
Fractional coordinates of all 5 atoms:
Li1 0.000 0.000 0.500
Li2 0.000 0.500 0.000
Li3 0.500 0.000 0.000
Ca1 0.500 0.500 0.500
Fe1 0.000 0.000 0.000

Properties
- DFT formation energy: 2.980 eV per formula unit
- Fermi-level density of states: 8.722 states/eV/cell

=====

# 13
A relaxed structure of Ba5Se. Source: Alexandria, functional GGA-PBEsol.

a b c (Å): 10.239 10.239 6.683
angles (deg): 90.00 90.00 155.65
Fractional coordinates of all 6 atoms:
Ba1 0.000 0.000 0.000
Ba2 0.123 0.877 0.500
Ba3 0.327 0.673 0.000
Ba4 0.673 0.327 0.000
Ba5 0.877 0.123 0.500
Se1 0.500 0.500 0.500

Properties
- Formation energy from raw total energies: -388 meV/atom
- Fermi-level density of states: 8.504 states/eV/cell

=====

# 14
A relaxed structure of NaPrSe2O8. Source: Alexandria, functional GGA-PBEsol.

a b c (Å): 6.587 7.156 7.367
angles (deg): 80.92 83.00 89.65
Fractional coordinates of all 24 atoms:
Na1 0.071 0.190 0.218
Na2 0.929 0.810 0.782
Pr1 0.357 0.694 0.302
Pr2 0.643 0.306 0.698
Se1 0.134 0.315 0.714
Se2 0.429 0.785 0.789
Se3 0.571 0.215 0.211
Se4 0.866 0.685 0.286
O1 0.009 0.853 0.342
O2 0.036 0.516 0.260
O3 0.263 0.241 0.891
O4 0.272 0.798 0.981
O5 0.284 0.786 0.619
O6 0.325 0.389 0.544
O7 0.405 0.034 0.260
O8 0.433 0.408 0.180
O9 0.567 0.592 0.820
O10 0.595 0.966 0.740
O11 0.675 0.611 0.456
O12 0.716 0.214 0.381
O13 0.728 0.202 0.019
O14 0.737 0.759 0.109
O15 0.964 0.484 0.740
O16 0.991 0.147 0.658

Properties
- Formation energy from raw total energies: -1517 meV/atom
- Fermi-level density of states: 0.000 states/eV/cell

=====

# 15
A relaxed structure of Ni2WBr. Source: Alexandria, functional GGA-PBEsol.

a b c (Å): 4.298 4.298 4.298
angles (deg): 60.00 60.00 60.00
Fractional coordinates of all 4 atoms:
Ni1 0.250 0.250 0.250
Ni2 0.750 0.750 0.750
W1 0.000 0.000 0.000
Br1 0.500 0.500 0.500

Properties
- Formation energy from raw total energies: 1048 meV/atom
- Fermi-level density of states: 3.585 states/eV/cell

=====

# 16
A relaxed structure of CoCuRh. Source: Alexandria, functional GGA-PBEsol.

a b c (Å): 2.591 2.591 6.208
angles (deg): 90.00 90.00 120.00
Fractional coordinates of all 3 atoms:
Co1 0.000 0.000 0.000
Cu1 0.333 0.667 0.676
Rh1 0.667 0.333 0.327

Properties
- DFT formation energy: 0.328 eV per formula unit
- Fermi-level density of states: 3.584 states/eV/cell

=====

# 17
A relaxed structure of Sc2TaGe2. Source: Alexandria, functional GGA-PBEsol.

a b c (Å): 6.940 6.940 3.736
angles (deg): 90.00 90.00 90.00
Fractional coordinates of all 10 atoms:
Sc1 0.172 0.328 0.000
Sc2 0.328 0.828 0.000
Sc3 0.672 0.172 0.000
Sc4 0.828 0.672 0.000
Ta1 0.000 0.000 0.500
Ta2 0.500 0.500 0.500
Ge1 0.134 0.634 0.500
Ge2 0.366 0.134 0.500
Ge3 0.634 0.866 0.500
Ge4 0.866 0.366 0.500

Properties
- DFT formation energy: -3.372 eV per formula unit
- Fermi-level density of states: 7.252 states/eV/cell

=====

# 18
A relaxed structure of MgPd5. Source: Alexandria, functional GGA-PBEsol.

a b c (Å): 4.778 4.778 4.495
angles (deg): 90.00 90.00 120.00
Fractional coordinates of all 6 atoms:
Mg1 0.000 0.000 0.000
Pd1 0.000 0.662 0.500
Pd2 0.333 0.667 0.000
Pd3 0.338 0.338 0.500
Pd4 0.662 0.000 0.500
Pd5 0.667 0.333 0.000

Properties
- DFT formation energy: -1.857 eV per formula unit
- Fermi-level density of states: 9.030 states/eV/cell

=====

# 19
A relaxed structure of FeAg2. Source: Alexandria, functional GGA-PBEsol.

a b c (Å): 2.750 2.750 6.863
angles (deg): 90.00 90.00 120.00
Fractional coordinates of all 3 atoms:
Fe1 0.000 0.000 0.000
Ag1 0.333 0.667 0.677
Ag2 0.667 0.333 0.323

Properties
- DFT formation energy: 0.952 eV per formula unit
- Fermi-level density of states: 2.300 states/eV/cell

=====

# 20
A relaxed structure of YSi2Hg. Source: Alexandria, functional GGA-PBEsol.

a b c (Å): 5.505 5.505 5.505
angles (deg): 137.26 137.26 62.03
Fractional coordinates of all 4 atoms:
Y1 0.000 0.000 0.000
Si1 0.250 0.750 0.500
Si2 0.500 0.500 0.000
Hg1 0.750 0.250 0.500

Properties
- Formation energy from raw total energies: -276 meV/atom
- Fermi-level density of states: 1.612 states/eV/cell

=====

# 21
A relaxed structure of RbSN2O. Source: Alexandria, functional GGA-PBEsol.

a b c (Å): 3.521 3.521 4.800
angles (deg): 90.00 90.00 90.00
Fractional coordinates of all 5 atoms:
Rb1 0.000 0.000 0.000
S1 0.500 0.500 0.500
N1 0.000 0.500 0.500
N2 0.500 0.000 0.500
O1 0.500 0.500 0.000

Properties
- Formation energy from raw total energies: 948 meV/atom
- Fermi-level density of states: 2.980 states/eV/cell

=====

# 22
A relaxed structure of HfGaHgIr2. Source: Alexandria, functional GGA-PBEsol.

a b c (Å): 4.503 4.503 4.860
angles (deg): 90.00 90.00 90.00
Fractional coordinates of all 5 atoms:
Hf1 0.000 0.000 0.000
Ga1 0.000 0.000 0.500
Hg1 0.500 0.500 0.000
Ir1 0.000 0.500 0.500
Ir2 0.500 0.000 0.500

Properties
- DFT formation energy: 4.449 eV per formula unit
- Fermi-level density of states: 5.340 states/eV/cell

=====

# 23
A relaxed structure of NbNi3F. Source: Alexandria, functional GGA-PBEsol.

a b c (Å): 4.475 4.475 4.475
angles (deg): 90.00 90.00 90.00
Fractional coordinates of all 5 atoms:
Nb1 0.000 0.000 0.000
Ni1 0.000 0.000 0.500
Ni2 0.000 0.500 0.000
Ni3 0.500 0.000 0.000
F1 0.500 0.500 0.500

Properties
- Formation energy from raw total energies: 1407 meV/atom
- Fermi-level density of states: 3.589 states/eV/cell

=====

# 24
A relaxed structure of LiPrTl2. Source: Alexandria, functional GGA-PBEsol.

a b c (Å): 5.225 5.225 5.225
angles (deg): 60.00 60.00 60.00
Fractional coordinates of all 4 atoms:
Li1 0.000 0.000 0.000
Pr1 0.500 0.500 0.500
Tl1 0.250 0.250 0.250
Tl2 0.750 0.750 0.750

Properties
- DFT formation energy: -1.576 eV per formula unit
- Fermi-level density of states: 1.223 states/eV/cell

=====

# 25
A relaxed structure of BaZrHg. Source: Alexandria, functional GGA-PBEsol.

a b c (Å): 3.544 3.544 7.935
angles (deg): 90.00 90.00 120.00
Fractional coordinates of all 3 atoms:
Ba1 0.000 0.000 0.000
Zr1 0.667 0.333 0.377
Hg1 0.333 0.667 0.648

Properties
- DFT formation energy: 0.697 eV per formula unit
- Fermi-level density of states: 3.722 states/eV/cell

=====

# 26
A relaxed structure of Re5Pt. Source: Alexandria, functional GGA-PBEsol.

a b c (Å): 5.191 5.191 6.527
angles (deg): 103.49 103.49 30.72
Fractional coordinates of all 6 atoms:
Re1 0.000 0.000 0.000
Re2 0.055 0.055 0.620
Re3 0.334 0.334 0.675
Re4 0.390 0.390 0.284
Re5 0.722 0.722 0.952
Pt1 0.667 0.667 0.341

Properties
- DFT formation energy: -0.470 eV per formula unit
- Fermi-level density of states: 4.372 states/eV/cell